# 1
12
Lattice="7.7655 -2.4106 0.0000 7.7655 2.4106 0.0000 -1.2318 0.0000 8.6308" Properties=species:S:1:pos:R:3 comment="NdSm3Ir2, optimized geometry, DFT PBE" formation_energy_kj_per_mol_atoms=-47 pbc="T T T"
Nd 2.2994 0.0000 2.9235
Nd 11.9998 0.0000 5.7073
Sm -0.3013 0.0000 7.2487
Sm 3.8689 0.0000 8.3826
Sm 5.6693 0.0000 3.5447
Sm 8.6299 0.0000 5.0860
Sm 10.4302 0.0000 0.2482
Sm 14.6005 0.0000 1.3821
Ir 2.2934 0.0000 5.9944
Ir 6.0930 0.0000 6.4997
Ir 8.2061 0.0000 2.1311
Ir 12.0058 0.0000 2.6363

---

# 2
16
Lattice="8.1920 0.0000 0.0000 0.0000 8.1920 0.0000 0.0000 0.0000 8.1920" Properties=species:S:1:pos:R:3 comment="AcEuPuMg, optimized geometry, DFT PBE" formation_energy_kj_per_mol_atoms=20 pbc="T T T"
Ac 0.0000 0.0000 0.0000
Ac 0.0000 4.0960 4.0960
Ac 4.0960 0.0000 4.0960
Ac 4.0960 4.0960 0.0000
Eu 0.0000 0.0000 4.0960
Eu 0.0000 4.0960 0.0000
Eu 4.0960 0.0000 0.0000
Eu 4.0960 4.0960 4.0960
Pu 2.0480 2.0480 6.1440
Pu 2.0480 6.1440 2.0480
Pu 6.1440 2.0480 2.0480
Pu 6.1440 6.1440 6.1440
Mg 2.0480 2.0480 2.0480
Mg 2.0480 6.1440 6.1440
Mg 6.1440 2.0480 6.1440
Mg 6.1440 6.1440 2.0480

---

# 3
4
Lattice="3.3867 0.0000 0.0000 0.0000 3.5486 0.0000 -0.0298 0.0000 6.7977" Properties=species:S:1:pos:R:3 comment="LiYAg2, optimized geometry, DFT PBE" formation_energy_kj_per_mol_atoms=-23 pbc="T T T"
Li 0.0000 0.0000 0.0000
Y -0.0149 0.0000 3.3988
Ag 1.6826 1.7743 1.4519
Ag 1.6743 1.7743 5.3457

---

So what do the calculations give for E? Going down the list: -6.592; -7.375; -3.759 eV per atom.